# ScVO PBE with a Hubbard U optimized geometry
data_ScVO
_space_group_name_H-M_alt 'R -3 m'
_space_group_IT_number 166
_space_group_name_Hall '-R 3 2"'
_cell_length_a 3.4914
_cell_length_b 3.4914
_cell_length_c 25.0488
_cell_angle_alpha 90.00
_cell_angle_beta 90.00
_cell_angle_gamma 120.00
loop_
_atom_site_label
_atom_site_type_symbol
_atom_site_fract_x
_atom_site_fract_y
_atom_site_fract_z
_atom_site_occupancy
Sc1 Sc 0.0000 0.0000 0.1132 1
V1 V 0.0000 0.0000 0.3017 1
O1 O 0.0000 0.0000 0.2064 1
# Uncorrected energy (eV per atom): -7.318